(1)
# Hg2HPt

A relaxed Hg2HPt crystal (GGA-PBE, the Alexandria database).

a = 3.083 Å, b = 5.352 Å, c = 5.463 Å
α = 98.59°, β = 90.63°, γ = 106.34°
Atoms (fractional coordinates):
Hg 0.000 0.000 0.000
Hg 0.254 0.532 0.456
H 0.684 0.380 0.890
Pt 0.258 0.533 0.956

Values from the calculation:
Fermi-level density of states (states/eV/f.u.): 1.6
Offset from the most stable computed form (meV/atom): 16
SG: No. 1
Calculated total energy (eV for the cell shown): -9.99
Crystal system: triclinic


(2)
# Hg4H3Pt2

A relaxed Hg4H3Pt2 crystal (GGA-PBE, the Alexandria database).

a = 3.264 Å, b = 6.968 Å, c = 7.196 Å
α = 70.50°, β = 77.07°, γ = 89.25°
Atoms (fractional coordinates):
Hg 0.104 0.461 0.279
Hg 0.290 0.823 0.925
Hg 0.710 0.177 0.075
Hg 0.896 0.539 0.721
H 0.000 0.000 0.500
H 0.454 0.215 0.585
H 0.546 0.785 0.415
Pt 0.081 0.856 0.342
Pt 0.919 0.144 0.658

Values from the calculation:
Fermi-level density of states (states/eV/f.u.): 2.0
SG: No. 2
Calculated total energy (eV for the cell shown): -23.06
Crystal system: triclinic


(3)
# HgHPt

A relaxed HgHPt crystal (GGA-PBE, the Alexandria database).

a = 2.914 Å, b = 5.489 Å, c = 5.797 Å
α = 97.29°, β = 90.92°, γ = 104.76°
Atoms (fractional coordinates):
Hg 0.000 0.000 0.000
Hg 0.327 0.658 0.490
H 0.288 0.545 0.034
H 0.586 0.175 0.363
Pt 0.068 0.126 0.513
Pt 0.741 0.455 0.874

Values from the calculation:
Fermi-level density of states (states/eV/f.u.): 0.7
Offset from the most stable computed form (meV/atom): 42
SG: No. 1
Calculated total energy (eV for the cell shown): -19.07
Crystal system: triclinic


(4)
# HgH12Pt7

A relaxed HgH12Pt7 crystal (GGA-PBE, the Alexandria database).

a = 6.240 Å, b = 6.240 Å, c = 6.240 Å
α = 99.01°, β = 99.01°, γ = 99.01°
Atoms (fractional coordinates):
Hg 0.000 0.000 0.000
H 0.119 0.498 0.880
H 0.120 0.881 0.502
H 0.190 0.453 0.452
H 0.452 0.190 0.453
H 0.453 0.452 0.190
H 0.498 0.880 0.119
H 0.502 0.120 0.881
H 0.547 0.548 0.810
H 0.548 0.810 0.547
H 0.810 0.547 0.548
H 0.880 0.119 0.498
H 0.881 0.502 0.120
Pt 0.152 0.152 0.456
Pt 0.152 0.456 0.152
Pt 0.456 0.152 0.152
Pt 0.500 0.500 0.500
Pt 0.544 0.848 0.848
Pt 0.848 0.544 0.848
Pt 0.848 0.848 0.544

Values from the calculation:
Fermi-level density of states (states/eV/f.u.): 2.6
SG: No. 148
Calculated total energy (eV for the cell shown): -80.73
Crystal system: trigonal


(5)
# HgH11Pt5

A relaxed HgH11Pt5 crystal (GGA-PBE, the Alexandria database).

a = 5.387 Å, b = 5.387 Å, c = 7.492 Å
α = 100.19°, β = 100.19°, γ = 119.90°
Atoms (fractional coordinates):
Hg 0.000 0.000 0.000
H 0.116 0.476 0.417
H 0.198 0.501 0.892
H 0.249 0.249 0.622
H 0.438 0.438 0.330
H 0.476 0.116 0.417
H 0.501 0.198 0.892
H 0.509 0.818 0.160
H 0.583 0.921 0.647
H 0.818 0.509 0.160
H 0.852 0.852 0.439
H 0.921 0.583 0.647
Pt 0.265 0.580 0.687
Pt 0.496 0.797 0.388
Pt 0.517 0.517 0.026
Pt 0.580 0.265 0.687
Pt 0.797 0.496 0.388

Values from the calculation:
Fermi-level density of states (states/eV/f.u.): 2.5
SG: No. 8
Calculated total energy (eV for the cell shown): -66.22
Crystal system: monoclinic


(6)
# Hg2HPt

A relaxed Hg2HPt crystal (GGA-PBE, the Alexandria database).

a = 5.540 Å, b = 4.908 Å, c = 5.644 Å
α = 90.00°, β = 109.13°, γ = 90.00°
Atoms (fractional coordinates):
Hg 0.000 0.000 0.000
Hg 0.198 0.500 0.358
Hg 0.500 0.500 0.000
Hg 0.802 0.500 0.642
H 0.317 0.000 0.701
H 0.683 0.000 0.299
Pt 0.000 0.000 0.500
Pt 0.500 0.000 0.500

Values from the calculation:
Fermi-level density of states (states/eV/f.u.): 0.6
Offset from the most stable computed form (meV/atom): 20
SG: No. 10
Calculated total energy (eV for the cell shown): -19.95
Crystal system: monoclinic


(7)
# Hg2HPt

A relaxed Hg2HPt crystal (GGA-PBE, the Alexandria database).

a = 9.708 Å, b = 5.815 Å, c = 5.406 Å
α = 90.00°, β = 108.59°, γ = 90.00°
Atoms (fractional coordinates):
Hg 0.000 0.000 0.000
Hg 0.000 0.264 0.500
Hg 0.168 0.530 0.993
Hg 0.332 0.030 0.007
Hg 0.500 0.500 0.000
Hg 0.500 0.764 0.500
Hg 0.668 0.030 0.993
Hg 0.832 0.530 0.007
H 0.158 0.778 0.531
H 0.342 0.278 0.469
H 0.658 0.278 0.531
H 0.842 0.778 0.469
Pt 0.249 0.022 0.469
Pt 0.251 0.522 0.531
Pt 0.749 0.522 0.469
Pt 0.751 0.022 0.531

Values from the calculation:
Fermi-level density of states (states/eV/f.u.): 1.1
Offset from the most stable computed form (meV/atom): 10
SG: No. 5
Calculated total energy (eV for the cell shown): -40.05
Crystal system: monoclinic


(8)
# HgH2Pt2

A relaxed HgH2Pt2 crystal (GGA-PBE, the Alexandria database).

a = 3.411 Å, b = 3.411 Å, c = 10.126 Å
α = 90.00°, β = 90.00°, γ = 90.00°
Atoms (fractional coordinates):
Hg 0.000 0.000 0.000
Hg 0.500 0.500 0.500
H 0.000 0.500 0.250
H 0.000 0.500 0.750
H 0.500 0.000 0.250
H 0.500 0.000 0.750
Pt 0.000 0.000 0.343
Pt 0.000 0.000 0.657
Pt 0.500 0.500 0.157
Pt 0.500 0.500 0.843

Values from the calculation:
Fermi-level density of states (states/eV/f.u.): 1.1
Offset from the most stable computed form (meV/atom): 80
SG: No. 139
Calculated total energy (eV for the cell shown): -36.91
Crystal system: tetragonal


(9)
# Hg2HPt

A relaxed Hg2HPt crystal (GGA-PBE, the Alexandria database).

a = 6.534 Å, b = 6.534 Å, c = 6.534 Å
α = 90.00°, β = 90.00°, γ = 90.00°
Atoms (fractional coordinates):
Hg 0.250 0.250 0.250
Hg 0.250 0.250 0.750
Hg 0.250 0.750 0.250
Hg 0.250 0.750 0.750
Hg 0.750 0.250 0.250
Hg 0.750 0.250 0.750
Hg 0.750 0.750 0.250
Hg 0.750 0.750 0.750
H 0.000 0.000 0.000
H 0.000 0.500 0.500
H 0.500 0.000 0.500
H 0.500 0.500 0.000
Pt 0.000 0.000 0.500
Pt 0.000 0.500 0.000
Pt 0.500 0.000 0.000
Pt 0.500 0.500 0.500

Values from the calculation:
Fermi-level density of states (states/eV/f.u.): 1.3
Offset from the most stable computed form (meV/atom): 586
SG: No. 225
Calculated total energy (eV for the cell shown): -30.84
Crystal system: cubic


(10)
# HgHPt2

A relaxed HgHPt2 crystal (GGA-PBE, the Alexandria database).

a = 6.254 Å, b = 6.254 Å, c = 6.254 Å
α = 90.00°, β = 90.00°, γ = 90.00°
Atoms (fractional coordinates):
Hg 0.000 0.000 0.000
Hg 0.000 0.500 0.500
Hg 0.500 0.000 0.500
Hg 0.500 0.500 0.000
H 0.000 0.000 0.500
H 0.000 0.500 0.000
H 0.500 0.000 0.000
H 0.500 0.500 0.500
Pt 0.250 0.250 0.250
Pt 0.250 0.250 0.750
Pt 0.250 0.750 0.250
Pt 0.250 0.750 0.750
Pt 0.750 0.250 0.250
Pt 0.750 0.250 0.750
Pt 0.750 0.750 0.250
Pt 0.750 0.750 0.750

Values from the calculation:
Fermi-level density of states (states/eV/f.u.): 1.1
Offset from the most stable computed form (meV/atom): 600
SG: No. 225
Calculated total energy (eV for the cell shown): -52.23
Crystal system: cubic


(11)
# HgH2Pt2

A relaxed HgH2Pt2 crystal (GGA-PBE, the Alexandria database).

a = 7.026 Å, b = 7.026 Å, c = 2.915 Å
α = 90.00°, β = 90.00°, γ = 90.00°
Atoms (fractional coordinates):
Hg 0.000 0.000 0.000
Hg 0.500 0.500 0.000
H 0.224 0.276 0.500
H 0.276 0.776 0.500
H 0.724 0.224 0.500
H 0.776 0.724 0.500
Pt 0.134 0.366 0.000
Pt 0.366 0.866 0.000
Pt 0.634 0.134 0.000
Pt 0.866 0.634 0.000

Values from the calculation:
Fermi-level density of states (states/eV/f.u.): 1.5
Offset from the most stable computed form (meV/atom): 171
SG: No. 127
Calculated total energy (eV for the cell shown): -36.01
Crystal system: tetragonal


(12)
# HgH2Pt2

A relaxed HgH2Pt2 crystal (GGA-PBE, the Alexandria database).

a = 5.837 Å, b = 5.837 Å, c = 5.837 Å
α = 124.01°, β = 124.01°, γ = 83.18°
Atoms (fractional coordinates):
Hg 0.000 0.000 0.000
Hg 0.750 0.250 0.500
H 0.055 0.761 0.294
H 0.467 0.761 0.706
H 0.511 0.305 0.794
H 0.511 0.717 0.206
Pt 0.287 0.541 0.745
Pt 0.291 0.046 0.755
Pt 0.291 0.537 0.245
Pt 0.796 0.541 0.255

Values from the calculation:
Fermi-level density of states (states/eV/f.u.): 0.4
Offset from the most stable computed form (meV/atom): 0
SG: No. 109
Calculated total energy (eV for the cell shown): -37.71
Crystal system: tetragonal